## ZnHg3 (PBE-GGA)

Data for a relaxed structure of ZnHg3.

Summary:
Its symmetry is No. 194. The total DFT energy (no corrections) is -0.439 eV/atom. The value obtained for the magnetic moment is 0.0 μB/f.u.

a b c (Å): 7.039 7.039 4.515
angles (deg): 90.00 90.00 120.00
Fractional coordinates of all 8 atoms:
Zn 0.333 0.667 0.250
Zn 0.667 0.333 0.750
Hg 0.175 0.351 0.750
Hg 0.175 0.825 0.750
Hg 0.351 0.175 0.250
Hg 0.649 0.825 0.750
Hg 0.825 0.175 0.250
Hg 0.825 0.649 0.250